<a>
The following is a PBE calculation of crystalline La2Y7Sc2 at its relaxed geometry, from Alexandria via LeMat-Bulk.

Summary:
- magnetization (μB per cell) = 0.0
- SG = C2/m (12)
- calculated density (g cm⁻³) = 4.63

a = 8.5491 Å, b = 6.5987 Å, c = 6.5987 Å
α = 94.54°, β = 78.58°, γ = 78.58°
Atoms (fractional coordinates):
1 Y 0.8241 0.5258 0.8871
2 Y 0.4220 0.8401 0.8401
3 Y 0.8241 0.8871 0.5258
4 Y 0.0000 0.0000 0.0000
5 Y 0.5780 0.1599 0.1599
6 Y 0.1759 0.1129 0.4742
7 Y 0.1759 0.4742 0.1129
8 Sc 0.8343 0.3792 0.3792
9 Sc 0.1657 0.6208 0.6208
10 La 0.5000 0.3161 0.6839
11 La 0.5000 0.6839 0.3161


<b>
The following is a PBE calculation of crystalline La2Y7Sc2 at its relaxed geometry, from Alexandria via LeMat-Bulk.

Summary:
- magnetization (μB per cell) = 0.0
- SG = P-1 (2)
- calculated density (g cm⁻³) = 4.60

a = 3.5726 Å, b = 11.0805 Å, c = 9.9982 Å
α = 67.34°, β = 100.38°, γ = 99.29°
Atoms (fractional coordinates):
1 Y 0.1658 0.9035 0.4276
2 Y 0.3418 0.3637 0.3171
3 Y 0.8300 0.6217 0.0362
4 Y 0.0000 0.0000 0.0000
5 Y 0.1700 0.3783 0.9638
6 Y 0.6582 0.6363 0.6829
7 Y 0.8342 0.0965 0.5724
8 La 0.4994 0.6983 0.2957
9 La 0.5006 0.3017 0.7043
10 Sc 0.6789 0.1483 0.2095
11 Sc 0.3211 0.8517 0.7905


On energetic grounds, <a> is preferred over the next structure by 0.006 eV/atom.


<a>
The following is a PBE calculation of crystalline LaScZn2 at its relaxed geometry, from Alexandria via LeMat-Bulk.

Summary:
- magnetization (μB per cell) = 0.0
- SG = Amm2 (38)
- calculated density (g cm⁻³) = 5.62

a = 4.4130 Å, b = 3.5335 Å, c = 6.2240 Å
α = 73.45°, β = 90.00°, γ = 90.00°
Atoms (fractional coordinates):
1 La 0.0000 0.4625 0.4495
2 Zn 0.0000 0.1976 0.9799
3 Zn 0.5000 0.0737 0.2276
4 Sc 0.5000 0.7662 0.8430


<b>
The following is a PBE calculation of crystalline LaScZn2 at its relaxed geometry, from Alexandria via LeMat-Bulk.

Summary:
- magnetization (μB per cell) = 0.0
- SG = C2/m (12)
- calculated density (g cm⁻³) = 5.73

a = 8.0157 Å, b = 5.0870 Å, c = 3.5267 Å
α = 90.10°, β = 63.76°, γ = 129.39°
Atoms (fractional coordinates):
1 Zn 0.0000 0.0000 0.0000
2 Zn 0.5000 0.0000 0.5000
3 Sc 0.5000 0.5000 0.0000
4 La 0.0000 0.5000 0.5000


<c>
The following is a PBE calculation of crystalline LaScZn2 at its relaxed geometry, from Alexandria via LeMat-Bulk.

Summary:
- magnetization (μB per cell) = 1.0
- SG = F-43m (216)
- calculated density (g cm⁻³) = 5.94

a = 4.9924 Å, b = 4.9924 Å, c = 4.9924 Å
α = 60.00°, β = 60.00°, γ = 60.00°
Atoms (fractional coordinates):
1 Sc 0.7500 0.7500 0.7500
2 Zn 0.2500 0.2500 0.2500
3 Zn 0.0000 0.0000 0.0000
4 La 0.5000 0.5000 0.5000


<d>
The following is a PBE calculation of crystalline LaScZn2 at its relaxed geometry, from Alexandria via LeMat-Bulk.

Summary:
- magnetization (μB per cell) = 0.0
- SG = C2/m (12)
- calculated density (g cm⁻³) = 5.32

a = 4.8863 Å, b = 4.8863 Å, c = 6.2377 Å
α = 75.54°, β = 75.54°, γ = 43.26°
Atoms (fractional coordinates):
1 Sc 0.2500 0.2500 0.2500
2 Zn 0.9892 0.9892 0.0787
3 Zn 0.5108 0.5108 0.4213
4 La 0.7500 0.7500 0.7500


On energetic grounds, <a> is preferred over the next structure by 0.007 eV/atom.


<a>
The following is a PBE calculation of crystalline LaScZn3 at its relaxed geometry, from Alexandria via LeMat-Bulk.

Summary:
- magnetization (μB per cell) = 0.0
- SG = Pm-3m (221)
- calculated density (g cm⁻³) = 4.09

a = 5.3628 Å, b = 5.3628 Å, c = 5.3628 Å
α = 90.00°, β = 90.00°, γ = 90.00°
Atoms (fractional coordinates):
1 Sc 0.5000 0.5000 0.5000
2 Zn 0.0000 0.0000 0.5000
3 Zn 0.0000 0.5000 0.0000
4 Zn 0.5000 0.0000 0.0000
5 La 0.0000 0.0000 0.0000


<b>
The following is a PBE calculation of crystalline LaScZn3 at its relaxed geometry, from Alexandria via LeMat-Bulk.

Summary:
- magnetization (μB per cell) = 0.0
- SG = Cmcm (63)
- calculated density (g cm⁻³) = 5.92

a = 3.4762 Å, b = 4.5470 Å, c = 13.6124 Å
α = 90.00°, β = 97.34°, γ = 90.00°
Atoms (fractional coordinates):
1 Zn 0.3718 0.2500 0.7435
2 Zn 0.6282 0.7500 0.2565
3 Zn 0.5244 0.7500 0.0488
4 Zn 0.4756 0.2500 0.9512
5 Zn 0.6821 0.2500 0.3642
6 Zn 0.3179 0.7500 0.6358
7 La 0.9228 0.7500 0.8455
8 La 0.0772 0.2500 0.1545
9 Sc 0.7873 0.2500 0.5745
10 Sc 0.2127 0.7500 0.4255


On energetic grounds, <b> is preferred over the next structure by 1.222 eV/atom.